# Ba2NbFeO6 (PBE with a Hubbard U, optimized geometry)
# * V: 791.8 Å³/cell
# * E: -186.8 eV for the cell shown
data_Ba2NbFeO6
_chemical_formula_sum 'Ba8 Nb4 Fe4 O24'
_cell_length_a 9.252
_cell_length_b 9.252
_cell_length_c 9.252
_cell_angle_alpha 90.00
_cell_angle_beta 90.00
_cell_angle_gamma 90.00
_symmetry_space_group_name_H-M 'F m -3 m'
_symmetry_Int_Tables_number 225
_symmetry_space_group_name_Hall '-F 4 2 3'
loop_
_atom_site_label
_atom_site_fract_x
_atom_site_fract_y
_atom_site_fract_z
_atom_site_occupancy
Ba1 0.250 0.250 0.250 1
Nb1 0.000 0.000 0.000 1
Fe1 0.000 0.000 0.500 1
O1 0.000 0.250 0.250 1